[1]
14
Lattice="3.8468 0.0000 -0.9171 0.0000 6.8191 0.0000 0.3080 0.0000 9.8178" Properties=species:S:1:pos:R:3 comment="Th2Be2Si3 PBE optimized geometry" n_ef_per_ev_atom=0.507 formation_energy_uncorrected_ev_per_atom=-0.448 final_energy_ev_per_atom=-5.957 pbc="T T T"
Si 1.9339 3.9442 8.1115
Si 1.9339 6.2845 8.1115
Si 0.8952 5.1143 3.7546
Si 3.2596 1.7048 5.1461
Si 2.2209 2.8750 0.7892
Si 2.2209 0.5346 0.7892
Th 0.7986 1.7048 3.3497
Th 0.1978 5.1143 0.8296
Th 3.3561 5.1143 5.5510
Th 3.9570 1.7048 8.0711
Be 2.6433 6.1566 2.5612
Be 2.6433 4.0721 2.5612
Be 1.5114 0.6625 6.3395
Be 1.5114 2.7471 6.3395

[2]
10
Lattice="-2.2883 2.5333 -2.0868 -5.2492 0.4374 2.4514 0.9017 8.4301 5.4094" Properties=species:S:1:pos:R:3 comment="Th2BeSi2 PBE optimized geometry" n_ef_per_ev_atom=0.499 formation_energy_uncorrected_ev_per_atom=-0.623 final_energy_ev_per_atom=-6.505 pbc="T T T"
Th -4.1100 6.4915 4.7160
Th -3.8338 1.3928 2.0590
Th -2.8020 10.0080 3.7150
Th -2.5258 4.9093 1.0581
Si -1.3963 2.1489 0.3042
Si -1.2929 5.2430 3.9469
Si -5.2395 9.2519 5.4699
Si -5.3429 6.1578 1.8272
Be -1.6663 7.2833 2.9975
Be -4.9695 4.1175 2.7765